Record 1
Here is crystalline MgOsOF2 at its relaxed geometry from Alexandria. Energies are from PBE.

## Properties
Relative energy among the computed polymorphs = 90.9 meV/atom

Cell lengths 4.4743, 4.4743, 3.7133 Å; angles 90.00, 90.00, 90.00 degrees
Closest atoms and distances in Å follow each position.
Positions (direct):
Mg  0.5000  0.5000  0.5000  8 F 2.91, 4 O 3.16
Os  0.0000  0.0000  0.0000  2 O 1.86
O  0.0000  0.0000  0.5000  2 Os 1.86
F  0.0000  0.5000  0.0000  2 Os 2.24
F  0.5000  0.0000  0.0000  2 Os 2.24

***

Record 2
Here is crystalline EuTmO2 at its relaxed geometry from Alexandria. Energies are from PBE.

Cell lengths 3.4178, 3.4178, 6.2290 Å; angles 74.08, 74.08, 60.00 degrees
Closest atoms and distances in Å follow each position.
Positions (direct):
Eu  0.5000  0.5000  0.5000  6 O 2.65
Tm  0.0000  0.0000  0.0000  6 O 2.30
O  0.7331  0.7331  0.8006  3 Tm 2.30
O  0.2669  0.2669  0.1994  3 Tm 2.30

***

Record 3
Here is crystalline PuZr3Ti at its relaxed geometry from Alexandria. Energies are from PBE.

## Properties
Energy of formation = 0.12 eV/atom

Cell lengths 6.1371, 7.8890, 9.5945 Å; angles 72.30, 90.00, 90.00 degrees
Closest atoms and distances in Å follow each position.
Positions (direct):
Pu  0.7503  0.3451  0.9137  1 Ti 2.76, 6 Zr 3.01-3.06
Pu  0.2497  0.6549  0.0863  1 Ti 2.76, 6 Zr 3.01-3.06
Pu  0.2503  0.6549  0.5863  1 Ti 2.76, 6 Zr 3.01-3.06
Pu  0.7497  0.3451  0.4137  1 Ti 2.76, 6 Zr 3.01-3.06
Zr  0.0026  0.2002  0.7001  6 Zr 3.01-3.30, 2 Pu 3.05-3.06, 4 Ti 3.14-3.31
Zr  0.9974  0.7998  0.2999  6 Zr 3.01-3.30, 2 Pu 3.05-3.06, 4 Ti 3.14-3.31
Zr  0.5026  0.7998  0.7999  6 Zr 3.01-3.30, 2 Pu 3.05-3.06, 4 Ti 3.14-3.31
Zr  0.4974  0.2002  0.2001  6 Zr 3.01-3.30, 2 Pu 3.05-3.06, 4 Ti 3.14-3.31
Zr  0.4975  0.2003  0.7000  6 Zr 3.01-3.30, 2 Pu 3.06, 4 Ti 3.14-3.31
Zr  0.5025  0.7997  0.3000  6 Zr 3.01-3.30, 2 Pu 3.06, 4 Ti 3.14-3.31
Zr  0.9975  0.7997  0.8000  6 Zr 3.01-3.30, 2 Pu 3.06, 4 Ti 3.14-3.31
Zr  0.0025  0.2003  0.2000  6 Zr 3.01-3.30, 2 Pu 3.06, 4 Ti 3.14-3.31
Zr  0.2497  0.4124  0.3971  1 Ti 2.94, 4 Pu 3.01-3.11, 4 Zr 3.26
Zr  0.7503  0.5876  0.6029  1 Ti 2.94, 4 Pu 3.01-3.11, 4 Zr 3.26
Zr  0.7497  0.5876  0.1029  1 Ti 2.94, 4 Pu 3.01-3.11, 4 Zr 3.26
Zr  0.2503  0.4124  0.8971  1 Ti 2.94, 4 Pu 3.01-3.11, 4 Zr 3.26
Ti  0.2500  0.0217  0.4947  1 Pu 2.76, 1 Zr 2.94, 2 Ti 3.09
Ti  0.7500  0.9783  0.5053  1 Pu 2.76, 1 Zr 2.94, 2 Ti 3.09
Ti  0.7500  0.9783  0.0053  1 Pu 2.76, 1 Zr 2.94, 2 Ti 3.09
Ti  0.2500  0.0217  0.9947  1 Pu 2.76, 1 Zr 2.94, 2 Ti 3.09

***

Record 4
Here is crystalline Y2PtBr at its relaxed geometry from Alexandria. Energies are from PBE.

## Properties
Relative energy among the computed polymorphs = 161.6 meV/atom

Cell lengths 8.1928, 8.1928, 8.1928 Å; angles 153.32, 154.31, 37.38 degrees
Closest atoms and distances in Å follow each position.
Positions (direct):
Y  0.0692  0.0692  0.0000  2 Pt 2.80
Y  0.7773  0.2773  0.5000  4 Pt 2.87
Br  0.4507  0.4507  0.0000  6 Y 3.21-3.25
Pt  0.2027  0.7027  0.5000  6 Y 2.80-2.87

***

| no. | DFT total energy (hartree per atom) | size of the total moment (Bohr magnetons per cell) |
| --- | --- | --- |
| 1 | -0.18985 | 0.12 |
| 2 | -0.33224 | 7.39 |
| 3 | -0.34738 | 22.54 |
| 4 | -0.22948 | 0.00 |